(1)
VASP calculation (PBE-GGA) on LaTl2HgRu after structural relaxation.

The structure in POSCAR format:
```
LaTl2HgRu
1.0
5.416 0.000 0.000
0.000 5.416 0.000
0.000 0.000 5.264
La Tl Hg Ru
1 2 1 1
direct
0.000 0.000 0.000 La
0.000 0.500 0.500 Tl
0.500 0.000 0.500 Tl
0.500 0.500 0.500 Hg
0.500 0.500 0.000 Ru
```

Summary:
E_tot	-15.6	eV for the cell shown
energy of formation from the pure elements	0.732	eV per atom
relative energy among the computed polymorphs	891.5	meV/atom


(2)
VASP calculation (PBE-GGA) on LaTl2HgRu after structural relaxation.

The structure in POSCAR format:
```
LaTl2HgRu
1.0
5.377 0.000 0.000
0.000 5.377 0.000
0.000 0.000 5.204
La Tl Hg Ru
1 2 1 1
direct
0.000 0.000 0.000 La
0.000 0.500 0.500 Tl
0.500 0.000 0.500 Tl
0.500 0.500 0.000 Hg
0.000 0.000 0.500 Ru
```

Summary:
E_tot	-20.0	eV for the cell shown
energy of formation from the pure elements	-0.159	eV per atom
relative energy among the computed polymorphs	0.0	meV/atom


(3)
VASP calculation (PBE-GGA) on La2TlHgRu after structural relaxation.

The structure in POSCAR format:
```
La2TlHgRu
1.0
5.321 0.000 0.000
0.000 5.321 0.000
0.000 0.000 5.399
La Tl Hg Ru
2 1 1 1
direct
0.000 0.500 0.000 La
0.500 0.000 0.000 La
0.000 0.000 0.500 Tl
0.500 0.500 0.500 Hg
0.500 0.500 0.000 Ru
```

Summary:
E_tot	-23.0	eV for the cell shown
energy of formation from the pure elements	-0.247	eV per atom
relative energy among the computed polymorphs	137.3	meV/atom